Li4Mn8O13F3: optimized geometry, PBE+U.

a b c (Å): 6.0244 6.0633 10.3159
angles (deg): 92.62 103.76 119.63
Closest atoms and distances in Å follow each position.
Space group P1 (No. 1)
Asymmetric unit:
Li1 0.0000 0.0000 0.0000 x1  1 F 1.92, 3 O 2.00-2.08
Li2 0.0074 0.5041 0.4973 x1  1 F 1.97, 3 O 2.02-2.10
Li3 0.7688 0.3167 0.1181 x1  4 O 1.98-2.15
Li4 0.7909 0.8173 0.6141 x1  1 F 1.92, 3 O 2.00-2.08
Mn1 0.3942 0.4075 0.8063 x1  4 O 1.98-2.00
Mn2 0.3943 0.9076 0.8073 x1  4 O 1.94-2.00
Mn3 0.3950 0.9088 0.3058 x1  4 O 1.97-2.01
Mn4 0.3968 0.6492 0.0590 x1  5 O 1.97-2.17
Mn5 0.3988 0.1623 0.5559 x1  4 O 1.96-1.97
Mn6 0.4024 0.4120 0.3018 x1  5 O 1.85-1.97
Mn7 0.8883 0.8959 0.3022 x1  4 O 1.94-1.99
Mn8 0.8953 0.4090 0.8073 x1  4 O 1.93-1.99
O1 0.1421 0.5611 0.7016 x1  2 Mn 1.94, 1 Li 2.02
O2 0.1441 0.0616 0.2025 x1  2 Mn 1.94, 1 Li 2.00
O3 0.1518 0.3293 0.9206 x1  3 Mn 1.97-1.98, 1 Li 2.05
O4 0.1583 0.8385 0.4229 x1  3 Mn 1.96-1.99, 1 Li 2.04
O5 0.1987 0.5494 0.1963 x1  3 Mn 1.96-2.00, 1 Li 2.15
O6 0.2038 0.0547 0.6910 x1  3 Mn 1.96-2.00, 1 Li 2.08
O7 0.5856 0.7602 0.9210 x1  3 Mn 1.97-2.00, 1 Li 2.08
O8 0.5897 0.2681 0.4178 x1  3 Mn 1.97-2.01, 1 Li 2.10
O9 0.6138 0.5017 0.1870 x1  1 Mn 1.85, 1 Li 1.98
O10 0.6321 0.9804 0.1908 x1  3 Mn 1.97-1.99, 1 Li 2.04
O11 0.6359 0.4852 0.6909 x1  3 Mn 1.96-1.99, 1 Li 2.05
O12 0.6442 0.7543 0.4115 x1  2 Mn 1.93-1.95, 1 Li 2.00
O13 0.6463 0.2548 0.9112 x1  2 Mn 1.93-1.94, 1 Li 2.04
F1 0.1359 0.7958 0.9439 x1  1 Li 1.92
F2 0.1678 0.3234 0.4313 x1  1 Li 1.97, 1 Mn 2.07
F3 0.6518 0.0198 0.6676 x1  1 Li 1.92

Output
Total energy in eV/atom: -6.772
Total magnetization in μB per cell: 31.00